[1]
Material: Y2AlVC
Method: DFT, PBE
State: relaxed

Results
The calculation puts the total energy at -0.5382 Ry/atom. The size of the total moment comes out at 1.9 μB per formula unit. As for the space group: No. 123. For the formation energy, the calculation gives -319 meV/atom.

Cell lengths 4.9547, 4.9547, 4.0295 Å; angles 90.00, 90.00, 90.00 degrees
Site moments in Bohr magnetons follow the coordinates.
Fractional coordinates of all 5 atoms:
1 Y 0.0000 0.5000 0.0000  0.04
2 Y 0.5000 0.0000 0.0000  0.04
3 C 0.0000 0.0000 0.0000  -0.10
4 Al 0.5000 0.5000 0.5000  -0.04
5 V 0.0000 0.0000 0.5000  1.67

---

[2]
Material: AlVZn2C
Method: DFT, PBE
State: relaxed

Results
The calculation puts the total energy at -0.2648 Ry/atom. The size of the total moment comes out at 0.0 μB per formula unit. As for the space group: No. 123. For the formation energy, the calculation gives 1324 meV/atom.

Cell lengths 4.7984, 3.6162, 4.7984 Å; angles 90.00, 90.00, 90.00 degrees
Fractional coordinates of all 5 atoms:
1 C 0.0000 0.5000 0.0000
2 Zn 0.0000 0.0000 0.5000
3 Zn 0.5000 0.0000 0.0000
4 Al 0.0000 0.0000 0.0000
5 V 0.5000 0.5000 0.5000

---

[3]
Material: AlWC2
Method: DFT, PBE
State: relaxed

Results
The calculation puts the total energy at -0.6203 Ry/atom. The size of the total moment comes out at 0.0 μB per formula unit. As for the space group: No. 122. For the formation energy, the calculation gives 346 meV/atom.

Cell lengths 4.7035, 4.7035, 5.7029 Å; angles 65.65, 65.65, 90.00 degrees
Fractional coordinates of all 8 atoms:
1 C 0.6315 0.1250 0.2500
2 C 0.1185 0.6250 0.2500
3 C 0.3750 0.3685 0.7500
4 C 0.8750 0.8815 0.7500
5 Al 0.5000 0.5000 0.0000
6 Al 0.2500 0.7500 0.5000
7 W 0.0000 0.0000 0.0000
8 W 0.7500 0.2500 0.5000

---

[4]
Material: Al3WC
Method: DFT, PBE
State: relaxed

Results
The calculation puts the total energy at -0.3390 Ry/atom. The size of the total moment comes out at 0.6 μB per formula unit. As for the space group: No. 221. The value obtained for the offset from the most stable computed form is 1459 meV/atom. For the formation energy, the calculation gives 2068 meV/atom.

Cell lengths 4.8942, 4.8942, 4.8942 Å; angles 90.00, 90.00, 90.00 degrees
Site moments in Bohr magnetons follow the coordinates.
Fractional coordinates of all 5 atoms:
1 C 0.5000 0.5000 0.5000  0.66
2 Al 0.0000 0.5000 0.0000  -0.02
3 Al 0.0000 0.0000 0.5000  -0.01
4 Al 0.5000 0.0000 0.0000  0.00
5 W 0.0000 0.0000 0.0000  -0.33

---

[5]
Material: AlWC
Method: DFT, PBE
State: relaxed

Results
The calculation puts the total energy at -0.5770 Ry/atom. The size of the total moment comes out at 0.0 μB per formula unit. As for the space group: No. 166. The value obtained for the offset from the most stable computed form is 123 meV/atom. For the formation energy, the calculation gives 789 meV/atom.

Cell lengths 4.0419, 4.0419, 5.8497 Å; angles 69.79, 69.79, 60.00 degrees
Fractional coordinates of all 6 atoms:
1 W 0.6088 0.6088 0.1734
2 W 0.3912 0.3912 0.8266
3 C 0.2638 0.2638 0.2087
4 C 0.7362 0.7362 0.7913
5 Al 0.8657 0.8657 0.4028
6 Al 0.1343 0.1343 0.5972

---

[6]
Material: AlWC2
Method: DFT, PBE
State: relaxed

Results
The calculation puts the total energy at -0.6115 Ry/atom. The size of the total moment comes out at 0.0 μB per formula unit. As for the space group: No. 25. For the formation energy, the calculation gives 466 meV/atom.

Cell lengths 2.7925, 2.9948, 5.0682 Å; angles 90.00, 90.00, 90.00 degrees
Fractional coordinates of all 4 atoms:
1 C 0.5000 0.5000 0.3254
2 C 0.5000 0.0000 0.8565
3 Al 0.0000 0.0000 0.4803
4 W 0.0000 0.5000 0.0044

---

[7]
Material: AlWC
Method: DFT, PBE
State: relaxed

Results
The calculation puts the total energy at -0.5861 Ry/atom. The size of the total moment comes out at 0.0 μB per formula unit. As for the space group: No. 25. The value obtained for the offset from the most stable computed form is 0 meV/atom. For the formation energy, the calculation gives 666 meV/atom.

Cell lengths 2.8502, 2.8717, 4.8060 Å; angles 90.00, 90.00, 90.00 degrees
Fractional coordinates of all 3 atoms:
1 C 0.5000 0.5000 0.6815
2 Al 0.0000 0.0000 0.4967
3 W 0.5000 0.0000 0.9884

---

[8]
Material: Al3WC
Method: DFT, PBE
State: relaxed

Results
The calculation puts the total energy at -0.4463 Ry/atom. The size of the total moment comes out at 0.0 μB per formula unit. As for the space group: No. 221. The value obtained for the offset from the most stable computed form is 0 meV/atom. For the formation energy, the calculation gives 609 meV/atom.

Cell lengths 4.0693, 4.0693, 4.0693 Å; angles 90.00, 90.00, 90.00 degrees
Fractional coordinates of all 5 atoms:
1 C 0.0000 0.0000 0.0000
2 Al 0.0000 0.5000 0.0000
3 Al 0.0000 0.0000 0.5000
4 Al 0.5000 0.0000 0.0000
5 W 0.5000 0.5000 0.5000

---

[9]
Material: Y2AlC
Method: DFT, PBE
State: relaxed

Results
The calculation puts the total energy at -0.4750 Ry/atom. The size of the total moment comes out at 0.0 μB per formula unit. As for the space group: No. 166. For the formation energy, the calculation gives 12 meV/atom.

Cell lengths 3.5375, 3.5375, 9.1826 Å; angles 78.89, 78.89, 60.00 degrees
Fractional coordinates of all 4 atoms:
1 Y 0.1170 0.1170 0.6492
2 Y 0.8830 0.8830 0.3508
3 C 0.5000 0.5000 0.5000
4 Al 0.0000 0.0000 0.0000

---

[10]
Material: Y3AlC3
Method: DFT, PBE
State: relaxed

Results
The calculation puts the total energy at -0.5503 Ry/atom. The size of the total moment comes out at 0.3 μB per formula unit. As for the space group: No. 63. The value obtained for the offset from the most stable computed form is 165 meV/atom. For the formation energy, the calculation gives -229 meV/atom.

Cell lengths 5.1111, 6.8802, 6.8808 Å; angles 99.57, 90.00, 90.00 degrees
Fractional coordinates of all 14 atoms:
1 Y 0.7500 0.6090 0.8530
2 Y 0.7500 0.1075 0.8925
3 Y 0.7500 0.1471 0.3910
4 Y 0.2500 0.3910 0.1470
5 Y 0.2500 0.8925 0.1075
6 Y 0.2500 0.8529 0.6090
7 Al 0.2500 0.3117 0.6884
8 Al 0.7500 0.6883 0.3116
9 C 0.2500 0.5889 0.8398
10 C 0.2500 0.1160 0.8839
11 C 0.2500 0.1604 0.4111
12 C 0.7500 0.4111 0.1602
13 C 0.7500 0.8840 0.1161
14 C 0.7500 0.8396 0.5889

---

[11]
Material: YAlC
Method: DFT, PBE
State: relaxed

Results
The calculation puts the total energy at -0.4933 Ry/atom. The size of the total moment comes out at 0.0 μB per formula unit. As for the space group: No. 156. The value obtained for the offset from the most stable computed form is 0 meV/atom. For the formation energy, the calculation gives -235 meV/atom.

Cell lengths 4.9727, 3.4385, 3.4385 Å; angles 120.00, 90.00, 90.00 degrees
Fractional coordinates of all 3 atoms:
1 Y 0.0840 0.0000 0.0000
2 C 0.3667 0.3333 0.6667
3 Al 0.5493 0.6667 0.3333

---

[12]
Material: Y6Al2C
Method: DFT, PBE
State: relaxed

Results
The calculation puts the total energy at -0.4769 Ry/atom. The size of the total moment comes out at 0.0 μB per formula unit. As for the space group: No. 139. For the formation energy, the calculation gives -322 meV/atom.

Cell lengths 6.8730, 6.8728, 9.7069 Å; angles 90.00, 90.00, 90.00 degrees
Fractional coordinates of all 18 atoms:
1 Y 0.0000 0.0001 0.2537
2 Y 0.7540 0.7540 0.5000
3 Y 0.7460 0.7460 0.9999
4 Y 0.7540 0.2460 0.5001
5 Y 0.7460 0.2540 0.0000
6 Y 0.5000 0.5001 0.2463
7 Y 0.0000 0.9999 0.7463
8 Y 0.2460 0.2460 0.5000
9 Y 0.2540 0.2540 0.0001
10 Y 0.2460 0.7540 0.4999
11 Y 0.2540 0.7460 0.0000
12 Y 0.5000 0.4999 0.7537
13 Al 0.0000 0.4998 0.7500
14 Al 0.5000 0.9998 0.7500
15 Al 0.5000 0.0002 0.2500
16 Al 0.0000 0.5002 0.2500
17 C 0.5000 0.5000 0.0000
18 C 0.0000 0.0000 0.5000